# 1
The following is a PBE-GGA calculation of a geometry-optimized Ho3GaAu2 structure, from Alexandria.

Computed properties:
The uncorrected energy comes out at -4.663 eV per atom. For the density of states at the Fermi level, the calculation gives 0.4967 states/eV per atom.

Geometry as POSCAR:
```
Ho3GaAu2
1.0
-1.3508 -3.2572 -0.4547
1.2099 -0.9492 3.2056
-9.3500 3.2506 4.4916
Ga Ho Au
1 3 2
direct
0.5000 0.5000 0.5000
0.0000 0.0000 0.3336
0.0000 0.0000 0.6664
0.0000 0.0000 0.0000
0.5000 0.5000 0.8297
0.5000 0.5000 0.1703
```

# 2
The following is a PBE-GGA calculation of a geometry-optimized HoGa2Au2 structure, from Alexandria.

Computed properties:
The uncorrected energy comes out at -3.172 eV per atom. For the density of states at the Fermi level, the calculation gives 0.9933 states/eV per atom.

Geometry as POSCAR:
```
HoGa2Au2
1.0
-1.3785 2.3890 2.6413
-1.8706 -2.8959 1.6430
9.4185 -1.5485 3.5554
Ho Au Ga
1 2 2
direct
0.0000 0.0000 0.0000
0.2500 0.7500 0.5000
0.7500 0.2500 0.5000
0.1489 0.1489 0.2978
0.8511 0.8511 0.7022
```

# 3
The following is a PBE-GGA calculation of a geometry-optimized HoGaAu4 structure, from Alexandria.

Computed properties:
The uncorrected energy comes out at -3.928 eV per atom. For the density of states at the Fermi level, the calculation gives 0.4052 states/eV per atom.

Geometry as POSCAR:
```
HoGaAu4
1.0
5.0394 -0.4732 1.0438
0.8776 9.0693 1.1756
-0.4318 -0.4732 5.1281
Au Ho Ga
8 2 2
direct
0.7020 0.0000 0.2980
0.2066 0.8791 0.2066
0.9097 0.6133 0.3294
0.0903 0.3867 0.6706
0.2980 0.0000 0.7020
0.3294 0.6133 0.9097
0.7934 0.1209 0.7934
0.6706 0.3867 0.0903
0.1861 0.2020 0.1861
0.8139 0.7980 0.8139
0.5880 0.3491 0.5880
0.4120 0.6509 0.4120
```

# 4
The following is a PBE-GGA calculation of a geometry-optimized HoGa4Au2 structure, from Alexandria.

Computed properties:
The uncorrected energy comes out at -3.788 eV per atom. For the density of states at the Fermi level, the calculation gives 0.2981 states/eV per atom.

Geometry as POSCAR:
```
HoGa4Au2
1.0
-3.7581 2.1680 0.7346
-1.4974 -4.3756 5.2530
8.1828 10.4460 11.0338
Au Ga Ho
8 16 4
direct
0.2500 0.7585 0.5319
0.7500 0.4571 0.7154
0.7500 0.2585 0.9681
0.2500 0.5429 0.2846
0.2500 0.9571 0.7846
0.2500 0.7415 0.0319
0.7500 0.0429 0.2154
0.7500 0.2415 0.4681
0.7500 0.7407 0.3134
0.2500 0.2407 0.1866
0.2500 0.1388 0.5395
0.7500 0.9643 0.0632
0.7500 0.8612 0.4605
0.2500 0.4643 0.4368
0.7500 0.1673 0.8181
0.2500 0.6673 0.6819
0.7500 0.3327 0.3181
0.2500 0.0357 0.9368
0.7500 0.6388 0.9605
0.2500 0.8327 0.1819
0.7500 0.7593 0.8134
0.7500 0.5357 0.5632
0.2500 0.3612 0.0395
0.2500 0.2593 0.6866
0.2500 0.0232 0.3575
0.7500 0.9768 0.6425
0.2500 0.4768 0.8575
0.7500 0.5232 0.1425
```

# 5
The following is a PBE-GGA calculation of a geometry-optimized Ho3Ga5Au6 structure, from Alexandria.

Computed properties:
The uncorrected energy comes out at -4.077 eV per atom. For the density of states at the Fermi level, the calculation gives 0.5267 states/eV per atom.

Geometry as POSCAR:
```
Ho3Ga5Au6
1.0
-1.0364 1.6094 3.8977
-9.1330 -0.1103 -2.3829
-1.1199 -12.5189 4.8715
Ga Au Ho
10 12 6
direct
0.0000 0.5474 0.8910
0.5000 0.2049 0.5000
0.0000 0.5474 0.1090
0.5000 0.1438 0.1671
0.0000 0.8562 0.3329
0.0000 0.7951 0.0000
0.5000 0.4526 0.3910
0.5000 0.1438 0.8329
0.0000 0.8562 0.6671
0.5000 0.4526 0.6090
0.5000 0.0015 0.3458
0.5000 0.9778 0.0000
0.5000 0.4098 0.8019
0.5000 0.4098 0.1981
0.0000 0.9985 0.8458
0.0000 0.5902 0.6981
0.0000 0.5019 0.5000
0.5000 0.0015 0.6542
0.0000 0.0222 0.5000
0.0000 0.5902 0.3019
0.0000 0.9985 0.1542
0.5000 0.4981 0.0000
0.5000 0.7598 0.1775
0.0000 0.2402 0.6775
0.5000 0.7583 0.5000
0.5000 0.7598 0.8225
0.0000 0.2402 0.3225
0.0000 0.2417 0.0000
```

# 6
The following is a PBE-GGA calculation of a geometry-optimized HoGa4Au structure, from Alexandria.

Computed properties:
The uncorrected energy comes out at -3.559 eV per atom. For the density of states at the Fermi level, the calculation gives 0.4378 states/eV per atom.

Geometry as POSCAR:
```
HoGa4Au
1.0
-1.0292 2.2067 4.9032
-3.7390 -2.2692 3.2926
1.5780 -2.5944 4.5551
Au Ga Ho
1 4 1
direct
0.0000 0.0000 0.0000
0.6247 0.6247 0.1258
0.6247 0.6247 0.6247
0.6247 0.1258 0.6247
0.1258 0.6247 0.6247
0.2500 0.2500 0.2500
```

# 7
The following is a PBE-GGA calculation of a geometry-optimized HoGaAu4 structure, from Alexandria.

Computed properties:
The uncorrected energy comes out at -3.814 eV per atom. For the density of states at the Fermi level, the calculation gives 0.2574 states/eV per atom.

Geometry as POSCAR:
```
HoGaAu4
1.0
5.5688 0.0000 0.0000
2.7844 4.8228 0.0000
2.7844 1.6076 4.5469
Au Ga Ho
4 1 1
direct
0.6251 0.6251 0.1247
0.1247 0.6251 0.6251
0.6251 0.6251 0.6251
0.6251 0.1247 0.6251
0.0000 0.0000 0.0000
0.2500 0.2500 0.2500
```

# 8
The following is a PBE-GGA calculation of a geometry-optimized Ho2Ga3Au4 structure, from Alexandria.

Computed properties:
The uncorrected energy comes out at -4.077 eV per atom. For the density of states at the Fermi level, the calculation gives 0.5391 states/eV per atom.

Geometry as POSCAR:
```
Ho2Ga3Au4
1.0
-0.9293 3.1443 -4.8063
-1.2763 -6.5456 -4.0354
-7.1627 -1.1602 4.1474
Ho Au Ga
4 8 6
direct
0.1071 0.5965 0.2143
0.3929 0.0965 0.7857
0.8929 0.4035 0.7857
0.6071 0.9035 0.2143
0.1764 0.9715 0.3528
0.1924 0.7500 0.8848
0.8236 0.0285 0.6472
0.3236 0.4715 0.6472
0.3076 0.2500 0.1152
0.8076 0.2500 0.1152
0.6764 0.5285 0.3528
0.6924 0.7500 0.8848
0.9804 0.2500 0.4608
0.5000 0.5000 0.0000
0.5196 0.7500 0.5392
0.0196 0.7500 0.5392
0.0000 0.0000 0.0000
0.4804 0.2500 0.4608
```

# 9
The following is a PBE-GGA calculation of a geometry-optimized Ho2Ga3Au2 structure, from Alexandria.

Computed properties:
The uncorrected energy comes out at -4.194 eV per atom. For the density of states at the Fermi level, the calculation gives 0.4889 states/eV per atom.

Geometry as POSCAR:
```
Ho2Ga3Au2
1.0
4.0760 0.0000 -0.9718
0.0000 7.2729 0.0000
0.1470 0.0000 9.6509
Au Ho Ga
4 4 6
direct
0.3173 0.0510 0.6345
0.3173 0.4490 0.6345
0.6827 0.5510 0.3655
0.6827 0.9490 0.3655
0.9431 0.2500 0.8862
0.0569 0.7500 0.1138
0.1559 0.2500 0.3117
0.8441 0.7500 0.6883
0.4443 0.5797 0.8885
0.7727 0.2500 0.5454
0.5557 0.4203 0.1115
0.4443 0.9203 0.8885
0.2273 0.7500 0.4546
0.5557 0.0797 0.1115
```

# 10
The following is a PBE-GGA calculation of a geometry-optimized HoGaAu3 structure, from Alexandria.

Computed properties:
The uncorrected energy comes out at -4.078 eV per atom. For the density of states at the Fermi level, the calculation gives 0.4825 states/eV per atom.

Geometry as POSCAR:
```
HoGaAu3
1.0
-3.2936 1.2601 3.1430
5.9325 -1.2992 6.7375
2.7197 8.8330 -0.6915
Au Ho Ga
12 4 4
direct
0.7500 0.5999 0.3463
0.2500 0.4001 0.6537
0.2500 0.8874 0.1576
0.7500 0.1126 0.8424
0.7500 0.4291 0.8986
0.7500 0.0999 0.1537
0.2500 0.0709 0.3986
0.2500 0.9001 0.8463
0.2500 0.5709 0.1014
0.7500 0.9291 0.6014
0.7500 0.6126 0.6576
0.2500 0.3874 0.3424
0.2500 0.2355 0.0042
0.7500 0.2645 0.5042
0.2500 0.7355 0.4958
0.7500 0.7645 0.9958
0.7500 0.3841 0.1742
0.2500 0.6159 0.8258
0.7500 0.8841 0.3258
0.2500 0.1159 0.6742
```

# 11
The following is a PBE-GGA calculation of a geometry-optimized HoGaAu structure, from Alexandria.

Computed properties:
The uncorrected energy comes out at -4.185 eV per atom. For the density of states at the Fermi level, the calculation gives 0.7507 states/eV per atom.

Geometry as POSCAR:
```
HoGaAu
1.0
-1.0970 -2.3864 2.2261
3.2314 -0.4658 1.0931
-1.7683 5.1699 2.0083
Ga Ho Au
1 1 1
direct
0.6318 0.6318 0.2635
0.9469 0.9469 0.8939
0.2713 0.2713 0.5426
```

# 12
The following is a PBE-GGA calculation of a geometry-optimized HoGa8Au6 structure, from Alexandria.

Computed properties:
The uncorrected energy comes out at -3.490 eV per atom. For the density of states at the Fermi level, the calculation gives 0.2972 states/eV per atom.

Geometry as POSCAR:
```
HoGa8Au6
1.0
7.5390 0.0000 0.0000
3.7695 6.5290 0.0000
3.7695 2.1763 6.3078
Ga Au Ho
8 6 1
direct
0.6649 0.6649 0.0054
0.7986 0.1246 0.6478
0.4291 0.7986 0.6478
0.2014 0.8754 0.3522
0.1246 0.4291 0.6478
0.3351 0.3351 0.9946
0.8754 0.5709 0.3522
0.5709 0.2014 0.3522
0.0687 0.7239 0.7795
0.5720 0.9313 0.2205
0.4280 0.0687 0.7795
0.2761 0.5720 0.2205
0.7239 0.4280 0.7795
0.9313 0.2761 0.2205
0.0000 0.0000 0.0000
```

# 13
The following is a PBE-GGA calculation of a geometry-optimized Ho8Ga2Au structure, from Alexandria.

Computed properties:
The uncorrected energy comes out at -4.526 eV per atom. For the density of states at the Fermi level, the calculation gives 1.0067 states/eV per atom.

Geometry as POSCAR:
```
Ho8Ga2Au
1.0
-2.3978 1.3997 -4.1063
3.7392 -4.1274 -3.5903
-5.8927 -6.1242 4.3451
Ga Ho Au
2 8 1
direct
0.1885 0.7569 0.3770
0.8115 0.2431 0.6230
0.9749 0.2296 0.9499
0.6577 0.9790 0.3154
0.4078 0.5374 0.8155
0.3423 0.0210 0.6846
0.2086 0.3199 0.4171
0.0251 0.7704 0.0501
0.7914 0.6801 0.5829
0.5922 0.4626 0.1845
0.5000 0.0000 0.0000
```

# 14
The following is a PBE-GGA calculation of a geometry-optimized Ho2Ga3Au2 structure, from Alexandria.

Computed properties:
The uncorrected energy comes out at -4.208 eV per atom. For the density of states at the Fermi level, the calculation gives 0.2916 states/eV per atom.

Geometry as POSCAR:
```
Ho2Ga3Au2
1.0
-2.2355 3.1162 -2.0676
0.3147 -4.8263 -3.0237
-4.7848 -0.3374 4.6647
Au Ho Ga
2 2 3
direct
0.1562 0.3125 0.2418
0.8438 0.6875 0.7582
0.8531 0.7061 0.2225
0.1469 0.2939 0.7775
0.4046 0.8091 0.5718
0.5000 0.0000 0.0000
0.5954 0.1909 0.4282
```

# 15
The following is a PBE-GGA calculation of a geometry-optimized Ho5Ga4Au structure, from Alexandria.

Computed properties:
The uncorrected energy comes out at -4.459 eV per atom. For the density of states at the Fermi level, the calculation gives 0.5851 states/eV per atom.

Geometry as POSCAR:
```
Ho5Ga4Au
1.0
-2.4370 -1.0911 -2.3508
2.4236 0.1836 -2.5977
4.6172 -17.0055 3.1060
Ga Au Ho
4 1 5
direct
0.0000 0.0000 0.7978
0.0000 0.0000 0.5984
0.0000 0.0000 0.2022
0.0000 0.0000 0.4016
0.0000 0.0000 0.0000
0.5000 0.5000 0.6989
0.5000 0.5000 0.3011
0.5000 0.5000 0.5000
0.5000 0.5000 0.8995
0.5000 0.5000 0.1005
```

# 16
The following is a PBE-GGA calculation of a geometry-optimized Ho3Ga9Au2 structure, from Alexandria.

Computed properties:
The uncorrected energy comes out at -3.916 eV per atom. For the density of states at the Fermi level, the calculation gives 0.2863 states/eV per atom.

Geometry as POSCAR:
```
Ho3Ga9Au2
1.0
-2.3937 -3.4003 -0.8320
4.2909 -4.2803 -5.6596
3.4323 -6.1363 4.3965
Ho Ga Au
3 9 2
direct
0.6798 0.3202 0.3202
0.0000 0.0000 0.0000
0.3202 0.6798 0.6798
0.6652 0.7130 0.9566
0.3348 0.0434 0.2870
0.8601 0.8650 0.4148
0.6652 0.9566 0.7130
0.0000 0.5000 0.5000
0.3348 0.2870 0.0434
0.1399 0.1350 0.5852
0.8601 0.4148 0.8650
0.1399 0.5852 0.1350
0.5000 0.7154 0.2846
0.5000 0.2846 0.7154
```

# 17
The following is a PBE-GGA calculation of a geometry-optimized Ho2Ga9Au structure, from Alexandria.

Computed properties:
The uncorrected energy comes out at -3.651 eV per atom. For the density of states at the Fermi level, the calculation gives 0.3436 states/eV per atom.

Geometry as POSCAR:
```
Ho2Ga9Au
1.0
4.2861 0.0000 0.0000
0.0000 4.2861 0.0000
0.0000 0.0000 12.4197
Ho Ga Au
2 9 1
direct
0.0000 0.0000 0.3275
0.0000 0.0000 0.6725
0.0000 0.5000 0.1513
0.5000 0.5000 0.3387
0.5000 0.0000 0.8487
0.5000 0.5000 0.6613
0.5000 0.0000 0.5000
0.0000 0.5000 0.8487
0.0000 0.5000 0.5000
0.5000 0.5000 0.0000
0.5000 0.0000 0.1513
0.0000 0.0000 0.0000
```

# 18
The following is a PBE-GGA calculation of a geometry-optimized Ho3Ga4Au2 structure, from Alexandria.

Computed properties:
The uncorrected energy comes out at -4.351 eV per atom. For the density of states at the Fermi level, the calculation gives 0.4022 states/eV per atom.

Geometry as POSCAR:
```
Ho3Ga4Au2
1.0
-1.7378 1.1829 -3.9872
-3.3379 -3.6969 2.9057
-1.0602 7.9145 2.8102
Ga Ho Au
4 3 2
direct
0.0256 0.0512 0.3636
0.7423 0.4847 0.0760
0.2577 0.5153 0.9240
0.9744 0.9488 0.6364
0.3265 0.6529 0.3446
0.0000 0.0000 0.0000
0.6735 0.3471 0.6554
0.6026 0.2052 0.2715
0.3974 0.7948 0.7285
```

# 19
The following is a PBE-GGA calculation of a geometry-optimized Ho5Ga2Au2 structure, from Alexandria.

Computed properties:
The uncorrected energy comes out at -4.611 eV per atom. For the density of states at the Fermi level, the calculation gives 0.9481 states/eV per atom.

Geometry as POSCAR:
```
Ho5Ga2Au2
1.0
-1.7384 -0.3176 7.3448
-1.8979 -7.2347 -0.7620
6.4989 -2.2658 5.3252
Au Ho Ga
4 10 4
direct
0.2916 0.5000 0.4168
0.7084 0.5000 0.5832
0.2084 0.0000 0.5832
0.7916 0.0000 0.4168
0.0404 0.6713 0.2773
0.5000 0.5000 0.0000
0.0000 0.0000 0.0000
0.5404 0.8287 0.2773
0.1823 0.1713 0.2773
0.8177 0.8287 0.7227
0.9596 0.3287 0.7227
0.3177 0.6713 0.7227
0.6823 0.3287 0.2773
0.4596 0.1713 0.7227
0.1206 0.3801 0.0000
0.6206 0.1199 0.0000
0.3794 0.8801 0.0000
0.8794 0.6199 0.0000
```

# 20
The following is a PBE-GGA calculation of a geometry-optimized HoGaAu3 structure, from Alexandria.

Computed properties:
The uncorrected energy comes out at -4.057 eV per atom. For the density of states at the Fermi level, the calculation gives 0.4740 states/eV per atom.

Geometry as POSCAR:
```
HoGaAu3
1.0
5.4106 0.0000 -0.7181
0.0000 5.9045 0.0000
-0.0808 0.0000 6.2629
Au Ga Ho
6 2 2
direct
0.3143 0.5013 0.1445
0.3143 0.9987 0.1445
0.3429 0.2500 0.5376
0.6857 0.4987 0.8555
0.6857 0.0013 0.8555
0.6571 0.7500 0.4624
0.0814 0.2500 0.8379
0.9186 0.7500 0.1621
0.1870 0.7500 0.6866
0.8130 0.2500 0.3134
```